Na3FeF after structural relaxation. Source: the Alexandria database, functional PBE with a Hubbard U.

Geometry as CIF:
```
data_Na3FeF
_cell_length_a 5.620
_cell_length_b 5.620
_cell_length_c 5.620
_cell_angle_alpha 90.00
_cell_angle_beta 90.00
_cell_angle_gamma 90.00
_symmetry_space_group_name_H-M 'P 1'
_symmetry_Int_Tables_number 1
_symmetry_space_group_name_Hall 'P 1'
loop_
_atom_site_label
_atom_site_type_symbol
_atom_site_fract_x
_atom_site_fract_y
_atom_site_fract_z
Na1 Na 0.500 0.000 0.000
Fe1 Fe 0.000 0.000 0.000
Na2 Na 0.000 0.000 0.500
Na3 Na 0.000 0.500 0.000
F1 F 0.500 0.500 0.500
```

Calculated volume = 177.5 Å³/f.u.
Energy above the lowest structure with this stoichiometry = 662.0 meV per atom